Run P
KY3Ge after structural relaxation, computed with PBE-GGA. Values from VASP.

- crystal system = cubic

Quantum ESPRESSO input file:
```
&SYSTEM
  ibrav = 0, nat = 5, ntyp = 3
/
ATOMIC_SPECIES
Y 88.91 Y.upf
Ge 72.64 Ge.upf
K 39.10 K.upf
CELL_PARAMETERS angstrom
5.676 0.000 0.000
0.000 5.676 0.000
0.000 0.000 5.676
ATOMIC_POSITIONS angstrom
Y 0.000 2.838 0.000
Y 0.000 0.000 2.838
Y 2.838 0.000 0.000
Ge 0.000 0.000 0.000
K 2.838 2.838 2.838
```


Run Q
KY3Ge after structural relaxation, computed with PBE-GGA. Values from VASP.

- crystal system = cubic

Quantum ESPRESSO input file:
```
&SYSTEM
  ibrav = 0, nat = 5, ntyp = 3
/
ATOMIC_SPECIES
Y 88.91 Y.upf
Ge 72.64 Ge.upf
K 39.10 K.upf
CELL_PARAMETERS angstrom
5.304 0.000 0.000
0.000 5.304 0.000
0.000 0.000 5.304
ATOMIC_POSITIONS angstrom
Y 0.000 2.652 0.000
Y 0.000 0.000 2.652
Y 2.652 0.000 0.000
Ge 2.652 2.652 2.652
K 0.000 0.000 0.000
```


Most stable structure: run P


Run P
K3ZnGe after structural relaxation, computed with PBE-GGA. Values from VASP.

- crystal system = monoclinic

Quantum ESPRESSO input file:
```
&SYSTEM
  ibrav = 0, nat = 10, ntyp = 3
/
ATOMIC_SPECIES
K 39.10 K.upf
Zn 65.41 Zn.upf
Ge 72.64 Ge.upf
CELL_PARAMETERS angstrom
8.677 -0.015 -0.087
-2.388 8.342 0.087
-3.601 -3.819 5.657
ATOMIC_POSITIONS angstrom
K 6.063 -0.627 1.108
K -0.126 2.682 1.195
K 2.814 1.827 4.462
K 4.454 3.174 1.029
K -3.375 5.135 4.548
K -1.766 1.334 4.627
Zn 1.945 5.069 2.859
Zn 0.743 -0.561 2.798
Ge 2.613 -1.973 4.108
Ge 0.075 6.481 1.549
```


Run Q
K3ZnGe after structural relaxation, computed with PBE-GGA. Values from VASP.

- crystal system = cubic

Quantum ESPRESSO input file:
```
&SYSTEM
  ibrav = 0, nat = 5, ntyp = 3
/
ATOMIC_SPECIES
K 39.10 K.upf
Ge 72.64 Ge.upf
Zn 65.41 Zn.upf
CELL_PARAMETERS angstrom
6.550 0.000 0.000
0.000 6.550 0.000
0.000 0.000 6.550
ATOMIC_POSITIONS angstrom
K 0.000 3.275 0.000
K 0.000 0.000 3.275
K 3.275 0.000 0.000
Ge 0.000 0.000 0.000
Zn 3.275 3.275 3.275
```


Most stable structure: run P


Run P
KZrGe2 after structural relaxation, computed with PBE-GGA. Values from VASP.

- crystal system = tetragonal

Quantum ESPRESSO input file:
```
&SYSTEM
  ibrav = 0, nat = 8, ntyp = 3
/
ATOMIC_SPECIES
Ge 72.64 Ge.upf
K 39.10 K.upf
Zr 91.22 Zr.upf
CELL_PARAMETERS angstrom
-0.422 -5.538 1.302
3.429 -1.290 -4.373
8.516 -2.705 3.755
ATOMIC_POSITIONS angstrom
Ge 2.215 -5.323 1.447
Ge 3.875 -6.687 -0.571
Ge 6.880 -4.350 2.474
Ge 6.224 -6.952 3.693
K 1.503 -3.414 -1.535
K 6.724 -3.704 -1.077
Zr 0.000 0.000 0.000
Zr 4.798 -5.828 1.761
```


Run Q
KZrGe2 after structural relaxation, computed with PBE-GGA. Values from VASP.

- crystal system = cubic

Quantum ESPRESSO input file:
```
&SYSTEM
  ibrav = 0, nat = 4, ntyp = 3
/
ATOMIC_SPECIES
Ge 72.64 Ge.upf
K 39.10 K.upf
Zr 91.22 Zr.upf
CELL_PARAMETERS angstrom
0.000 3.563 3.563
3.563 0.000 3.563
3.563 3.563 0.000
ATOMIC_POSITIONS angstrom
Ge 1.782 1.782 1.782
Ge 5.345 5.345 5.345
K 0.000 0.000 0.000
Zr 3.563 3.563 3.563
```


Most stable structure: run P


Run P
KZrGe3 after structural relaxation, computed with PBE-GGA. Values from VASP.

- crystal system = cubic

Quantum ESPRESSO input file:
```
&SYSTEM
  ibrav = 0, nat = 5, ntyp = 3
/
ATOMIC_SPECIES
Ge 72.64 Ge.upf
K 39.10 K.upf
Zr 91.22 Zr.upf
CELL_PARAMETERS angstrom
-4.068 2.784 -1.394
-2.109 -0.777 4.604
2.291 4.230 1.763
ATOMIC_POSITIONS angstrom
Ge -1.054 -0.388 2.302
Ge 1.145 2.115 0.881
Ge -2.034 1.392 -0.697
K 0.000 0.000 0.000
Zr -1.943 3.119 2.486
```


Run Q
KZrGe3 after structural relaxation, computed with PBE-GGA. Values from VASP.

- crystal system = cubic

Quantum ESPRESSO input file:
```
&SYSTEM
  ibrav = 0, nat = 5, ntyp = 3
/
ATOMIC_SPECIES
Ge 72.64 Ge.upf
K 39.10 K.upf
Zr 91.22 Zr.upf
CELL_PARAMETERS angstrom
-3.704 -2.393 2.905
-0.182 -3.957 -3.492
3.759 -2.550 2.693
ATOMIC_POSITIONS angstrom
Ge -0.091 -1.978 -1.746
Ge 1.880 -1.275 1.346
Ge -1.852 -1.196 1.452
K -0.063 -4.450 1.053
Zr 0.000 0.000 0.000
```


Most stable structure: run Q


Run P
K3ZrGe after structural relaxation, computed with PBE-GGA. Values from VASP.

- crystal system = cubic

Quantum ESPRESSO input file:
```
&SYSTEM
  ibrav = 0, nat = 5, ntyp = 3
/
ATOMIC_SPECIES
Ge 72.64 Ge.upf
K 39.10 K.upf
Zr 91.22 Zr.upf
CELL_PARAMETERS angstrom
-3.004 5.527 1.346
-2.194 -2.530 5.493
5.248 2.106 3.067
ATOMIC_POSITIONS angstrom
Ge 0.000 0.000 0.000
K -1.097 -1.265 2.746
K 2.624 1.053 1.533
K -1.502 2.763 0.673
Zr 0.025 2.551 4.953
```


Run Q
K3ZrGe after structural relaxation, computed with PBE-GGA. Values from VASP.

- crystal system = cubic

Quantum ESPRESSO input file:
```
&SYSTEM
  ibrav = 0, nat = 5, ntyp = 3
/
ATOMIC_SPECIES
Ge 72.64 Ge.upf
K 39.10 K.upf
Zr 91.22 Zr.upf
CELL_PARAMETERS angstrom
6.537 0.000 0.000
0.000 6.537 0.000
0.000 0.000 6.537
ATOMIC_POSITIONS angstrom
Ge 3.268 3.268 3.268
K 0.000 3.268 0.000
K 0.000 0.000 3.268
K 3.268 0.000 0.000
Zr 0.000 0.000 0.000
```


Most stable structure: run P


Run P
LaGe5 after structural relaxation, computed with PBE-GGA. Values from VASP.

- crystal system = orthorhombic

Quantum ESPRESSO input file:
```
&SYSTEM
  ibrav = 0, nat = 6, ntyp = 2
/
ATOMIC_SPECIES
La 138.91 La.upf
Ge 72.64 Ge.upf
CELL_PARAMETERS angstrom
6.252 -0.027 -0.003
1.736 6.006 0.003
-3.047 -4.255 3.420
ATOMIC_POSITIONS angstrom
La 0.000 0.000 0.000
Ge 1.667 0.619 2.732
Ge 3.274 1.105 0.689
Ge -1.064 -1.425 2.732
Ge 6.006 3.149 0.689
Ge 1.603 -2.141 1.709
```


Run Q
LaGe5 after structural relaxation, computed with PBE-GGA. Values from VASP.

- crystal system = orthorhombic

Quantum ESPRESSO input file:
```
&SYSTEM
  ibrav = 0, nat = 6, ntyp = 2
/
ATOMIC_SPECIES
Ge 72.64 Ge.upf
La 138.91 La.upf
CELL_PARAMETERS angstrom
-0.921 -0.028 -4.931
-3.962 -1.825 0.750
-0.376 6.198 0.036
ATOMIC_POSITIONS angstrom
Ge -3.953 2.463 -1.827
Ge -2.908 1.166 0.537
Ge -2.442 -0.927 -2.090
Ge -1.430 3.206 0.249
Ge -1.306 1.882 -2.318
La 0.000 0.000 0.000
```


Most stable structure: run P


Run P
LiLa3Ge after structural relaxation, computed with PBE-GGA. Values from VASP.

- crystal system = cubic

Quantum ESPRESSO input file:
```
&SYSTEM
  ibrav = 0, nat = 5, ntyp = 3
/
ATOMIC_SPECIES
Ge 72.64 Ge.upf
Li 6.94 Li.upf
La 138.91 La.upf
CELL_PARAMETERS angstrom
5.862 0.000 0.000
0.000 5.862 0.000
0.000 0.000 5.862
ATOMIC_POSITIONS angstrom
Ge 0.000 0.000 0.000
Li 2.931 2.931 2.931
La 0.000 2.931 0.000
La 0.000 0.000 2.931
La 2.931 0.000 0.000
```


Run Q
LiLa3Ge after structural relaxation, computed with PBE-GGA. Values from VASP.

- crystal system = triclinic

Quantum ESPRESSO input file:
```
&SYSTEM
  ibrav = 0, nat = 10, ntyp = 3
/
ATOMIC_SPECIES
Li 6.94 Li.upf
La 138.91 La.upf
Ge 72.64 Ge.upf
CELL_PARAMETERS angstrom
-0.331 -1.072 4.044
1.628 -6.258 -3.707
9.769 2.140 1.350
ATOMIC_POSITIONS angstrom
Li 6.977 -1.642 0.045
Li 8.445 -3.656 1.818
La 3.808 -0.432 0.119
La 7.041 -5.090 -0.847
La 8.378 -0.207 2.709
La 1.844 -7.007 0.393
La 1.238 -3.729 -0.964
La 4.413 -3.710 1.477
Ge 4.018 -5.244 -1.140
Ge 1.633 -2.196 1.653
```


Most stable structure: run Q


Run P
Li2LaGePd after structural relaxation, computed with PBE-GGA. Values from VASP.

- crystal system = tetragonal

Quantum ESPRESSO input file:
```
&SYSTEM
  ibrav = 0, nat = 5, ntyp = 4
/
ATOMIC_SPECIES
Ge 72.64 Ge.upf
Li 6.94 Li.upf
Pd 106.42 Pd.upf
La 138.91 La.upf
CELL_PARAMETERS angstrom
5.307 0.000 0.000
0.000 5.253 0.000
0.000 0.000 5.307
ATOMIC_POSITIONS angstrom
Ge 0.000 2.626 0.000
Li 0.000 0.000 2.653
Li 2.653 0.000 0.000
Pd 2.653 2.626 2.653
La 0.000 0.000 0.000
```


Run Q
Li2LaGePd after structural relaxation, computed with PBE-GGA. Values from VASP.

- crystal system = tetragonal

Quantum ESPRESSO input file:
```
&SYSTEM
  ibrav = 0, nat = 5, ntyp = 4
/
ATOMIC_SPECIES
Ge 72.64 Ge.upf
Li 6.94 Li.upf
Pd 106.42 Pd.upf
La 138.91 La.upf
CELL_PARAMETERS angstrom
4.684 0.000 0.000
0.000 4.684 0.000
0.000 0.000 4.819
ATOMIC_POSITIONS angstrom
Ge 0.000 0.000 2.410
Li 0.000 2.342 0.000
Li 2.342 0.000 0.000
Pd 0.000 0.000 0.000
La 2.342 2.342 2.410
```


Most stable structure: run Q


Run P
LaLuGe after structural relaxation, computed with PBE-GGA. Values from VASP.

- crystal system = trigonal

Quantum ESPRESSO input file:
```
&SYSTEM
  ibrav = 0, nat = 3, ntyp = 3
/
ATOMIC_SPECIES
Ge 72.64 Ge.upf
Lu 174.97 Lu.upf
La 138.91 La.upf
CELL_PARAMETERS angstrom
4.338 0.000 0.000
0.000 4.778 0.000
0.000 -2.389 4.138
ATOMIC_POSITIONS angstrom
Ge 0.651 0.000 0.000
Lu 0.769 0.000 2.758
La 2.918 2.389 1.379
```


Run Q
LaLuGe after structural relaxation, computed with PBE-GGA. Values from VASP.

- crystal system = cubic

Quantum ESPRESSO input file:
```
&SYSTEM
  ibrav = 0, nat = 3, ntyp = 3
/
ATOMIC_SPECIES
Ge 72.64 Ge.upf
Lu 174.97 Lu.upf
La 138.91 La.upf
CELL_PARAMETERS angstrom
4.981 0.000 0.000
2.491 4.314 0.000
2.491 1.438 4.067
ATOMIC_POSITIONS angstrom
Ge 2.491 1.438 1.017
Lu 0.000 0.000 0.000
La 4.981 2.876 2.034
```


Most stable structure: run Q


Run P
LaMgGe3 after structural relaxation, computed with PBE-GGA. Values from VASP.

- crystal system = cubic

Quantum ESPRESSO input file:
```
&SYSTEM
  ibrav = 0, nat = 5, ntyp = 3
/
ATOMIC_SPECIES
Ge 72.64 Ge.upf
Mg 24.30 Mg.upf
La 138.91 La.upf
CELL_PARAMETERS angstrom
-2.285 -2.856 -3.380
-0.796 -3.477 3.476
-4.353 2.135 1.139
ATOMIC_POSITIONS angstrom
Ge -0.398 -1.738 1.738
Ge -2.176 1.068 0.569
Ge -1.143 -1.428 -1.690
Mg 0.000 0.000 0.000
La -3.717 -2.099 0.617
```


Run Q
LaMgGe3 after structural relaxation, computed with PBE-GGA. Values from VASP.

- crystal system = cubic

Quantum ESPRESSO input file:
```
&SYSTEM
  ibrav = 0, nat = 5, ntyp = 3
/
ATOMIC_SPECIES
Ge 72.64 Ge.upf
Mg 24.30 Mg.upf
La 138.91 La.upf
CELL_PARAMETERS angstrom
5.644 0.000 0.000
0.000 5.644 0.000
0.000 0.000 5.644
ATOMIC_POSITIONS angstrom
Ge 0.000 2.822 0.000
Ge 0.000 0.000 2.822
Ge 2.822 0.000 0.000
Mg 2.822 2.822 2.822
La 0.000 0.000 0.000
```


Most stable structure: run P


Run P
LaMg2Ge2 after structural relaxation, computed with PBE-GGA. Values from VASP.

- crystal system = tetragonal

Quantum ESPRESSO input file:
```
&SYSTEM
  ibrav = 0, nat = 5, ntyp = 3
/
ATOMIC_SPECIES
Ge 72.64 Ge.upf
Mg 24.30 Mg.upf
La 138.91 La.upf
CELL_PARAMETERS angstrom
4.369 0.000 0.000
0.000 4.369 0.000
2.184 2.184 5.936
ATOMIC_POSITIONS angstrom
Ge 2.184 2.184 1.286
Ge 4.369 4.369 4.651
Mg 4.369 2.184 2.968
Mg 2.184 4.369 2.968
La 0.000 0.000 0.000
```


Run Q
LaMg2Ge2 after structural relaxation, computed with PBE-GGA. Values from VASP.

- crystal system = tetragonal

Quantum ESPRESSO input file:
```
&SYSTEM
  ibrav = 0, nat = 5, ntyp = 3
/
ATOMIC_SPECIES
Ge 72.64 Ge.upf
Mg 24.30 Mg.upf
La 138.91 La.upf
CELL_PARAMETERS angstrom
-3.166 2.926 -2.081
-1.101 -3.432 -3.150
-5.818 -1.984 0.558
ATOMIC_POSITIONS angstrom
Ge -5.559 0.344 -2.069
Ge -4.526 -2.834 -2.604
Mg -3.122 -0.717 -1.764
Mg -6.963 -1.772 -2.909
La 0.000 0.000 0.000
```


Most stable structure: run P


Run P
LaMgNi2Ge after structural relaxation, computed with PBE-GGA. Values from VASP.

- crystal system = tetragonal

Quantum ESPRESSO input file:
```
&SYSTEM
  ibrav = 0, nat = 5, ntyp = 4
/
ATOMIC_SPECIES
Ni 58.69 Ni.upf
Ge 72.64 Ge.upf
Mg 24.30 Mg.upf
La 138.91 La.upf
CELL_PARAMETERS angstrom
-1.805 -1.194 4.176
-4.175 -3.243 -2.732
2.824 -3.759 0.146
ATOMIC_POSITIONS angstrom
Ni 1.412 -1.879 0.073
Ni -0.903 -0.597 2.088
Ge -1.578 -4.098 0.795
Mg -2.088 -1.621 -1.366
La 0.000 0.000 0.000
```


Run Q
LaMgNi2Ge after structural relaxation, computed with PBE-GGA. Values from VASP.

- crystal system = tetragonal

Quantum ESPRESSO input file:
```
&SYSTEM
  ibrav = 0, nat = 5, ntyp = 4
/
ATOMIC_SPECIES
Ni 58.69 Ni.upf
Ge 72.64 Ge.upf
Mg 24.30 Mg.upf
La 138.91 La.upf
CELL_PARAMETERS angstrom
-2.084 3.104 -2.431
1.678 -2.406 -4.510
-3.689 -2.506 -0.036
ATOMIC_POSITIONS angstrom
Ni -1.844 -1.253 -0.018
Ni -1.042 1.552 -1.216
Ge 0.000 0.000 0.000
Mg -2.047 -0.904 -3.489
La 0.839 -1.203 -2.255
```


Most stable structure: run Q


Run P
LaMn2Ge2 after structural relaxation, computed with PBE-GGA. Values from VASP.

- crystal system = tetragonal

Quantum ESPRESSO input file:
```
&SYSTEM
  ibrav = 0, nat = 10, ntyp = 3
/
ATOMIC_SPECIES
Ge 72.64 Ge.upf
Mn 54.94 Mn.upf
La 138.91 La.upf
CELL_PARAMETERS angstrom
7.768 0.000 0.000
0.000 7.768 0.000
0.000 0.000 2.986
ATOMIC_POSITIONS angstrom
Ge 1.308 5.192 1.493
Ge 5.192 6.460 1.493
Ge 6.460 2.576 1.493
Ge 2.576 1.308 1.493
Mn 2.977 6.861 0.000
Mn 6.861 4.791 0.000
Mn 4.791 0.907 0.000
Mn 0.907 2.977 0.000
La 0.000 0.000 0.000
La 3.884 3.884 0.000
```


Run Q
LaMn2Ge2 after structural relaxation, computed with PBE-GGA. Values from VASP.

- crystal system = tetragonal

Quantum ESPRESSO input file:
```
&SYSTEM
  ibrav = 0, nat = 5, ntyp = 3
/
ATOMIC_SPECIES
La 138.91 La.upf
Mn 54.94 Mn.upf
Ge 72.64 Ge.upf
CELL_PARAMETERS angstrom
6.250 -0.001 0.000
3.625 5.092 0.000
-4.938 -2.545 2.865
ATOMIC_POSITIONS angstrom
La 0.000 0.000 0.000
Mn 3.125 -0.001 1.432
Mn 1.813 2.546 1.432
Ge 6.187 3.189 0.000
Ge 3.688 1.901 0.000
```


Most stable structure: run Q


Run P
LaGe3Mo after structural relaxation, computed with PBE-GGA. Values from VASP.

- crystal system = cubic

Quantum ESPRESSO input file:
```
&SYSTEM
  ibrav = 0, nat = 5, ntyp = 3
/
ATOMIC_SPECIES
Mo 95.94 Mo.upf
Ge 72.64 Ge.upf
La 138.91 La.upf
CELL_PARAMETERS angstrom
-3.288 -4.396 -0.334
2.120 -1.211 -4.928
3.866 -3.075 2.419
ATOMIC_POSITIONS angstrom
Mo 1.349 -4.341 -1.422
Ge 1.060 -0.605 -2.464
Ge 1.933 -1.537 1.209
Ge -1.644 -2.198 -0.167
La 0.000 0.000 0.000
```


Run Q
LaGe3Mo after structural relaxation, computed with PBE-GGA. Values from VASP.

- crystal system = cubic

Quantum ESPRESSO input file:
```
&SYSTEM
  ibrav = 0, nat = 5, ntyp = 3
/
ATOMIC_SPECIES
Mo 95.94 Mo.upf
Ge 72.64 Ge.upf
La 138.91 La.upf
CELL_PARAMETERS angstrom
4.886 0.000 0.000
0.000 4.886 0.000
0.000 0.000 4.886
ATOMIC_POSITIONS angstrom
Mo 0.000 0.000 0.000
Ge 0.000 2.443 0.000
Ge 0.000 0.000 2.443
Ge 2.443 0.000 0.000
La 2.443 2.443 2.443
```


Most stable structure: run Q